Run A
Compound: Mn2SbPd5
Source: the Alexandria database
Functional: PBE
Structure: optimized geometry

Computed properties:
The density of states at the Fermi level is 16.291 states/eV per cell. For the total magnetic moment, the calculation gives 9.15 μB/f.u.

Unit cell a=2.9319 b=13.7293 c=13.9485 alpha=90.00 beta=90.00 gamma=90.00
Closest atoms and distances in Å follow each position.
Space group Cmcm (No. 63)
One atom of each set of equivalent atoms:
Mn 0.0000 0.1016 0.0334 x8  5 Pd 2.57-2.64
Sb 0.0000 0.1164 0.2500 x4  4 Pd 2.67-2.68, 2 Sb 2.93
Pd 0.0000 0.0472 0.6456 x8  2 Mn 2.57-2.61, 1 Sb 2.68, 3 Pd 2.79-2.87
Pd 0.0000 0.2207 0.7500 x4  2 Sb 2.67, 8 Pd 2.79-2.93
Pd 0.0000 0.2866 0.0794 x8  3 Mn 2.62-2.64, 8 Pd 2.80-2.93

Run B
Compound: Mn2SbPd5
Source: the Alexandria database
Functional: PBE
Structure: optimized geometry

Computed properties:
The density of states at the Fermi level is 8.820 states/eV per cell. For the total magnetic moment, the calculation gives 9.49 μB/f.u.

Unit cell a=5.5908 b=11.0050 c=4.1677 alpha=90.00 beta=90.00 gamma=90.00
Closest atoms and distances in Å follow each position.
Space group Pbam (No. 55)
One atom of each set of equivalent atoms:
Mn 0.1852 0.1410 0.0000 x4  10 Pd 2.69-2.93
Sb 0.0000 0.5000 0.5000 x2  8 Pd 2.69-2.80
Pd 0.0000 0.0000 0.5000 x2  2 Sb 2.80, 4 Mn 2.80, 6 Pd 2.82-2.94
Pd 0.0636 0.7454 0.5000 x4  1 Sb 2.72, 4 Mn 2.76-2.80, 7 Pd 2.80-2.95
Pd 0.2058 0.3856 0.0000 x4  2 Sb 2.69, 4 Mn 2.69-2.93, 6 Pd 2.90-2.95

According to the calculations, the structures order from most to least stable as run B, run A.